Computed, not measured: a relaxed Tb3Pr2Nd6Tm crystal at the PBE level of DFT.

Results
total DFT energy (no corrections) = -56.363 eV per cell
mass density = 7.28 Mg/m³
formation energy from the elements = 0.014 eV/atom
V = 34.1 A^3/atom

a b c (Å): 6.314 6.314 12.039
angles (deg): 95.02 95.02 120.00
Sites, in units of the cell vectors:
Tb1 0.166 0.834 0.500
Tb2 0.834 0.166 0.500
Tb3 0.500 0.500 0.500
Pr1 0.333 0.667 0.000
Pr2 0.667 0.333 0.000
Nd1 0.916 0.584 0.748
Nd2 0.752 0.752 0.253
Nd3 0.084 0.416 0.252
Nd4 0.584 0.916 0.748
Nd5 0.248 0.248 0.747
Nd6 0.416 0.084 0.252
Tm1 0.000 0.000 0.000


Computed, not measured: a relaxed ThZrPb2 crystal at the PBE level of DFT.

Results
total DFT energy (no corrections) = -23.886 eV per cell
mass density = 10.79 Mg/m³
formation energy from the elements = -0.125 eV/atom
V = 28.4 A^3/atom

a b c (Å): 4.995 4.995 5.995
angles (deg): 65.38 65.38 60.00
Sites, in units of the cell vectors:
Pb1 0.762 0.762 0.713
Pb2 0.238 0.238 0.287
Zr1 0.500 0.500 0.500
Th1 0.000 0.000 0.000


Computed, not measured: a relaxed BPd2Pb crystal at the PBE level of DFT.

Results
total DFT energy (no corrections) = -18.310 eV per cell
mass density = 11.07 Mg/m³
formation energy from the elements = 0.615 eV/atom
V = 16.2 A^3/atom
energy above the lowest structure with this stoichiometry = 2.90 eV per formula unit

a b c (Å): 4.505 4.505 4.505
angles (deg): 60.00 60.00 60.00
Sites, in units of the cell vectors:
Pb1 0.500 0.500 0.500
B1 0.000 0.000 0.000
Pd1 0.250 0.250 0.250
Pd2 0.750 0.750 0.750


Computed, not measured: a relaxed SnHgI2 crystal at the PBE level of DFT.

Results
total DFT energy (no corrections) = -8.820 eV per cell
mass density = 5.18 Mg/m³
V = 45.9 A^3/atom
energy above the lowest structure with this stoichiometry = 0.00 eV per formula unit

a b c (Å): 4.522 4.522 10.691
angles (deg): 77.79 77.79 60.00
Sites, in units of the cell vectors:
Sn1 0.667 0.667 0.000
Hg1 0.500 0.500 0.501
I1 0.060 0.060 0.819
I2 0.273 0.273 0.181


Computed, not measured: a relaxed TlTeC3 crystal at the PBE level of DFT.

Results
total DFT energy (no corrections) = -19.125 eV per cell
mass density = 7.58 Mg/m³
V = 16.1 A^3/atom
energy above the lowest structure with this stoichiometry = 0.00 eV per formula unit

a b c (Å): 4.319 4.319 4.319
angles (deg): 90.00 90.00 90.00
Sites, in units of the cell vectors:
Tl1 0.500 0.500 0.500
Te1 0.000 0.000 0.000
C1 0.000 0.500 0.000
C2 0.000 0.000 0.500
C3 0.500 0.000 0.000


Computed, not measured: a relaxed SiOsPd3 crystal at the PBE level of DFT.

Results
total DFT energy (no corrections) = -24.884 eV per cell
mass density = 8.04 Mg/m³
V = 22.2 A^3/atom
energy above the lowest structure with this stoichiometry = 3.29 eV per formula unit

a b c (Å): 4.806 4.806 4.806
angles (deg): 90.00 90.00 90.00
Sites, in units of the cell vectors:
Si1 0.500 0.500 0.500
Os1 0.000 0.000 0.000
Pd1 0.000 0.500 0.000
Pd2 0.000 0.000 0.500
Pd3 0.500 0.000 0.000


Computed, not measured: a relaxed V3H2Rh2 crystal at the PBE level of DFT.

Results
total DFT energy (no corrections) = -50.214 eV per cell
mass density = 8.12 Mg/m³
V = 10.5 A^3/atom

a b c (Å): 2.720 4.729 6.391
angles (deg): 101.94 102.09 106.75
Sites, in units of the cell vectors:
V1 0.000 0.000 0.000
V2 0.892 0.562 0.220
V3 0.108 0.438 0.780
H1 0.608 0.273 0.942
H2 0.392 0.727 0.058
Rh1 0.700 0.811 0.589
Rh2 0.300 0.189 0.411


Computed, not measured: a relaxed La3Th crystal at the PBE level of DFT.

Results
total DFT energy (no corrections) = -21.927 eV per cell
mass density = 7.57 Mg/m³
formation energy from the elements = 0.069 eV/atom
V = 35.6 A^3/atom
energy above the lowest structure with this stoichiometry = 0.10 eV per formula unit

a b c (Å): 3.673 6.387 7.096
angles (deg): 116.75 105.00 90.00
Sites, in units of the cell vectors:
Th1 0.000 0.000 0.000
La1 0.257 0.593 0.514
La2 0.500 0.494 0.000
La3 0.743 0.079 0.486


Computed, not measured: a relaxed La5Tb12Th2 crystal at the PBE level of DFT.

Results
total DFT energy (no corrections) = -93.674 eV per cell
mass density = 7.96 Mg/m³
formation energy from the elements = 0.072 eV/atom
V = 33.7 A^3/atom

a b c (Å): 6.183 12.966 16.266
angles (deg): 147.19 106.15 86.57
Sites, in units of the cell vectors:
La1 0.265 0.600 0.631
La2 0.355 0.850 0.292
La3 0.000 0.000 0.500
La4 0.645 0.150 0.708
La5 0.735 0.400 0.369
Tb1 0.122 0.058 0.238
Tb2 0.067 0.532 0.874
Tb3 0.709 0.689 0.081
Tb4 0.215 0.771 0.535
Tb5 0.564 0.623 0.330
Tb6 0.534 0.113 0.977
Tb7 0.466 0.887 0.023
Tb8 0.785 0.229 0.465
Tb9 0.436 0.377 0.670
Tb10 0.933 0.468 0.126
Tb11 0.291 0.311 0.919
Tb12 0.878 0.942 0.762
Th1 0.849 0.755 0.839
Th2 0.151 0.245 0.161


Computed, not measured: a relaxed Ga2Ni2Hg crystal at the PBE level of DFT.

Results
total DFT energy (no corrections) = -37.438 eV per cell
mass density = 10.33 Mg/m³
formation energy from the elements = -0.160 eV/atom
V = 14.7 A^3/atom
energy above the lowest structure with this stoichiometry = 0.00 eV per formula unit

a b c (Å): 6.994 6.994 3.006
angles (deg): 90.00 90.00 90.00
Sites, in units of the cell vectors:
Ni1 0.358 0.858 0.000
Ni2 0.858 0.642 0.000
Ni3 0.642 0.142 0.000
Ni4 0.142 0.358 0.000
Hg1 0.000 0.000 0.000
Hg2 0.500 0.500 0.000
Ga1 0.150 0.650 0.500
Ga2 0.650 0.850 0.500
Ga3 0.850 0.350 0.500
Ga4 0.350 0.150 0.500


Computed, not measured: a relaxed SrLaW2 crystal at the PBE level of DFT.

Results
total DFT energy (no corrections) = -27.692 eV per cell
mass density = 10.88 Mg/m³
formation energy from the elements = 1.206 eV/atom
V = 22.7 A^3/atom
energy above the lowest structure with this stoichiometry = 2.67 eV per formula unit

a b c (Å): 4.126 4.126 5.328
angles (deg): 90.00 90.00 90.00
Sites, in units of the cell vectors:
La1 0.500 0.000 0.500
Sr1 0.000 0.500 0.500
W1 0.000 0.000 0.000
W2 0.500 0.500 0.000


Computed, not measured: a relaxed MgCrW2 crystal at the PBE level of DFT.

Results
total DFT energy (no corrections) = -35.010 eV per cell
mass density = 11.24 Mg/m³
formation energy from the elements = 0.529 eV/atom
V = 16.4 A^3/atom
energy above the lowest structure with this stoichiometry = 0.93 eV per formula unit

a b c (Å): 2.741 2.741 8.727
angles (deg): 90.00 90.00 90.00
Sites, in units of the cell vectors:
Cr1 0.000 0.000 0.484
Mg1 0.500 0.500 0.742
W1 0.000 0.000 0.007
W2 0.500 0.500 0.267


Computed, not measured: a relaxed LiMgCl2 crystal at the PBE level of DFT.

Results
total DFT energy (no corrections) = -9.448 eV per cell
mass density = 1.89 Mg/m³
V = 22.5 A^3/atom
energy above the lowest structure with this stoichiometry = 2.93 eV per formula unit

a b c (Å): 5.029 5.029 5.029
angles (deg): 60.00 60.00 60.00
Sites, in units of the cell vectors:
Cl1 0.000 0.000 0.000
Cl2 0.250 0.250 0.250
Li1 0.500 0.500 0.500
Mg1 0.750 0.750 0.750


Computed, not measured: a relaxed SrInSnRh crystal at the PBE level of DFT.

Results
total DFT energy (no corrections) = -17.690 eV per cell
mass density = 6.59 Mg/m³
formation energy from the elements = -0.479 eV/atom
V = 26.7 A^3/atom

a b c (Å): 4.646 4.646 6.316
angles (deg): 68.42 68.42 60.00
Sites, in units of the cell vectors:
Sr1 0.812 0.812 0.565
In1 0.264 0.264 0.208
Sn1 0.018 0.018 0.947
Rh1 0.632 0.632 0.103


Computed, not measured: a relaxed Ce2TmSe2O2 crystal at the PBE level of DFT.

Results
total DFT energy (no corrections) = -50.355 eV per cell
mass density = 7.38 Mg/m³
V = 20.5 A^3/atom

a b c (Å): 4.315 4.315 8.303
angles (deg): 105.06 105.06 90.00
Sites, in units of the cell vectors:
Ce1 0.380 0.380 0.759
Ce2 0.620 0.620 0.241
Tm1 0.000 0.000 0.000
Se1 0.180 0.180 0.360
Se2 0.820 0.820 0.640
O1 0.000 0.500 0.000
O2 0.500 0.000 0.000


Computed, not measured: a relaxed Mn21Mo2C6 crystal at the PBE level of DFT.

Results
total DFT energy (no corrections) = -272.473 eV per cell
mass density = 8.18 Mg/m³
formation energy from the elements = -0.100 eV/atom
V = 9.9 A^3/atom

a b c (Å): 7.411 7.411 7.411
angles (deg): 60.00 60.00 60.00
Sites, in units of the cell vectors:
Mn1 0.000 0.000 0.000
Mn2 0.616 0.616 0.151
Mn3 0.616 0.616 0.616
Mn4 0.616 0.151 0.616
Mn5 0.151 0.616 0.616
Mn6 0.384 0.384 0.849
Mn7 0.384 0.384 0.384
Mn8 0.384 0.849 0.384
Mn9 0.849 0.384 0.384
Mn10 0.667 0.000 0.333
Mn11 0.000 0.667 0.333
Mn12 0.000 0.000 0.333
Mn13 0.000 0.667 0.000
Mn14 0.667 0.000 0.000
Mn15 0.000 0.000 0.667
Mn16 0.000 0.333 0.000
Mn17 0.000 0.333 0.667
Mn18 0.667 0.333 0.000
Mn19 0.333 0.000 0.667
Mn20 0.333 0.000 0.000
Mn21 0.333 0.667 0.000
Mo1 0.750 0.750 0.750
Mo2 0.250 0.250 0.250
C1 0.275 0.725 0.275
C2 0.725 0.275 0.275
C3 0.725 0.725 0.275
C4 0.725 0.275 0.725
C5 0.275 0.725 0.725
C6 0.275 0.275 0.725


Computed, not measured: a relaxed LiSmRe2N6 crystal at the PBE level of DFT.

Results
total DFT energy (no corrections) = -170.851 eV per cell
mass density = 6.44 Mg/m³
V = 15.8 A^3/atom

a b c (Å): 6.195 7.447 7.447
angles (deg): 87.36 73.84 73.84
Sites, in units of the cell vectors:
Li1 0.250 0.229 0.771
Li2 0.750 0.771 0.229
Sm1 0.250 0.895 0.105
Sm2 0.750 0.105 0.895
Re1 0.288 0.781 0.613
Re2 0.212 0.387 0.219
Re3 0.712 0.219 0.387
Re4 0.788 0.613 0.781
N1 0.169 0.970 0.788
N2 0.331 0.212 0.030
N3 0.831 0.030 0.212
N4 0.669 0.788 0.970
N5 0.368 0.866 0.386
N6 0.132 0.614 0.134
N7 0.632 0.134 0.614
N8 0.868 0.386 0.866
N9 0.054 0.664 0.624
N10 0.446 0.376 0.336
N11 0.946 0.336 0.376
N12 0.554 0.624 0.664


Computed, not measured: a relaxed CaHf3Sn crystal at the PBE level of DFT.

Results
total DFT energy (no corrections) = -31.585 eV per cell
mass density = 7.49 Mg/m³
formation energy from the elements = 0.856 eV/atom
V = 30.8 A^3/atom
energy above the lowest structure with this stoichiometry = 0.00 eV per formula unit

a b c (Å): 5.358 5.358 5.358
angles (deg): 90.00 90.00 90.00
Sites, in units of the cell vectors:
Ca1 0.500 0.500 0.500
Hf1 0.000 0.500 0.000
Hf2 0.000 0.000 0.500
Hf3 0.500 0.000 0.000
Sn1 0.000 0.000 0.000


Computed, not measured: a relaxed YEr3Ir2 crystal at the PBE level of DFT.

Results
total DFT energy (no corrections) = -83.722 eV per cell
mass density = 10.19 Mg/m³
formation energy from the elements = -0.664 eV/atom
V = 26.5 A^3/atom
energy above the lowest structure with this stoichiometry = 0.54 eV per formula unit

a b c (Å): 6.709 7.004 8.323
angles (deg): 114.88 113.77 90.00
Sites, in units of the cell vectors:
Y1 0.000 0.500 0.000
Y2 0.000 0.000 0.000
Er1 0.500 0.250 0.000
Er2 0.500 0.750 0.000
Er3 0.765 0.015 0.531
Er4 0.235 0.485 0.469
Er5 0.235 0.985 0.469
Er6 0.765 0.515 0.531
Ir1 0.572 0.361 0.722
Ir2 0.850 0.139 0.278
Ir3 0.150 0.861 0.722
Ir4 0.428 0.639 0.278


Computed, not measured: a relaxed LiTe2Pd crystal at the PBE level of DFT.

Results
total DFT energy (no corrections) = -14.685 eV per cell
mass density = 5.26 Mg/m³
V = 29.1 A^3/atom

a b c (Å): 8.512 8.512 8.512
angles (deg): 27.53 27.53 27.53
Sites, in units of the cell vectors:
Te1 0.109 0.109 0.109
Te2 0.891 0.891 0.891
Pd1 0.500 0.500 0.500
Li1 0.000 0.000 0.000